# 1
Compound: K3Sn2Hg4
Source: Alexandria
Functional: PBE
Structure: relaxed

Structure (POSCAR):
```
K3Sn2Hg4
1.0
-3.487 2.764 -2.051
-5.553 -3.584 -1.256
-8.023 0.154 7.993
Hg K Sn
4 3 2
direct
0.088 0.453 0.370
0.709 0.657 0.925
0.912 0.547 0.630
0.291 0.343 0.075
0.380 0.860 0.379
0.000 0.000 0.000
0.620 0.140 0.621
0.698 0.376 0.226
0.302 0.624 0.774
```

Results
**Fermi-level density of states**: 0.232 states/eV per atom
**Energy above the most stable polymorph in this dataset**: 0.006 eV/atom



# 2
Compound: TlCd2Ni2
Source: Alexandria
Functional: PBE
Structure: relaxed

Structure (POSCAR):
```
TlCd2Ni2
1.0
4.001 0.000 0.000
0.000 4.001 0.000
2.001 2.001 5.988
Cd Tl Ni
2 1 2
direct
0.750 0.250 0.500
0.250 0.750 0.500
0.000 0.000 0.000
0.404 0.404 0.193
0.596 0.596 0.807
```

Results
**Fermi-level density of states**: 0.456 states/eV per atom
**Energy above the most stable polymorph in this dataset**: 0.158 eV/atom



# 3
Compound: Pr2TcWN6
Source: Alexandria
Functional: PBE
Structure: relaxed

Structure (POSCAR):
```
Pr2TcWN6
1.0
5.641 0.000 -0.011
0.000 5.629 0.000
0.035 0.000 7.896
N W Pr Tc
12 2 4 2
direct
0.275 0.722 0.466
0.277 0.723 0.034
0.064 0.494 0.749
0.936 0.506 0.251
0.564 0.006 0.249
0.225 0.222 0.034
0.725 0.278 0.534
0.436 0.994 0.751
0.223 0.223 0.466
0.775 0.778 0.966
0.723 0.277 0.966
0.777 0.777 0.534
0.000 0.500 0.000
0.500 0.000 0.500
0.995 0.027 0.750
0.005 0.973 0.250
0.505 0.527 0.750
0.495 0.473 0.250
0.500 0.000 0.000
0.000 0.500 0.500
```

Results
**Fermi-level density of states**: 0.280 states/eV per atom
**Final energy**: -8.97 eV/atom



# 4
Compound: Dy2CdAg8
Source: Alexandria
Functional: PBE
Structure: relaxed

Structure (POSCAR):
```
Dy2CdAg8
1.0
-1.570 1.668 4.275
1.547 -6.429 3.077
5.914 4.094 -2.177
Ag Dy Cd
8 2 1
direct
0.974 0.281 0.947
0.414 0.561 0.828
0.026 0.719 0.053
0.330 0.119 0.660
0.670 0.881 0.340
0.586 0.439 0.172
0.860 0.841 0.721
0.140 0.159 0.279
0.780 0.349 0.560
0.220 0.651 0.440
0.500 0.000 0.000
```

Results
**Fermi-level density of states**: 0.419 states/eV per atom
**Final energy**: -3.13 eV/atom



# 5
Compound: MgOs3
Source: Alexandria
Functional: PBE
Structure: relaxed

Structure (POSCAR):
```
MgOs3
1.0
-1.691 -4.585 0.701
4.567 -1.776 -0.602
0.811 0.442 4.850
Os Mg
6 2
direct
0.750 0.500 0.000
0.500 0.000 0.250
0.500 0.000 0.750
0.000 0.750 0.500
0.000 0.250 0.500
0.250 0.500 0.000
0.000 0.000 0.000
0.500 0.500 0.500
```

Results
**Fermi-level density of states**: 1.283 states/eV per atom
**Final energy**: -8.20 eV/atom



# 6
Compound: Sm3SnO
Source: Alexandria
Functional: PBE
Structure: relaxed

Structure (POSCAR):
```
Sm3SnO
1.0
-2.515 6.455 -0.781
-6.906 -1.491 -5.691
-7.604 -0.477 4.926
Sm O Sn
12 4 4
direct
0.590 0.675 0.001
0.441 0.637 0.654
0.941 0.654 0.637
0.090 0.001 0.675
0.910 0.999 0.325
0.414 0.947 0.319
0.086 0.681 0.053
0.410 0.325 0.999
0.059 0.346 0.363
0.586 0.053 0.681
0.914 0.319 0.947
0.559 0.363 0.346
0.168 0.835 0.516
0.332 0.484 0.165
0.832 0.165 0.484
0.668 0.516 0.835
0.250 0.992 0.008
0.750 0.655 0.345
0.750 0.008 0.992
0.250 0.345 0.655
```

Results
**Fermi-level density of states**: 0.748 states/eV per atom
**Final energy**: -5.99 eV/atom



Among the records above, which one has the highest Fermi-level density of states? MgOs3



What is the Fermi-level density of states in the second record? 0.456 states/eV per atom



Among the records above, which one has the lowest Fermi-level density of states? K3Sn2Hg4



What is the Fermi-level density of states in the second record? 0.456 states/eV per atom